Entry 1:
CdGa2Cl after structural relaxation. Source: the Alexandria database, functional PBE.

Properties
E_tot, eV/atom: -2.220
Calculated volume, A^3/atom: 31.5
Polymorph energy (0 for the lowest one), eV/f.u.: 0.12
Formation energy (no corrections), eV per atom: -0.02
N(E_F), states/eV/atom: 0.512

Cell lengths 8.1757, 8.1757, 8.1757 Å; angles 136.89, 136.89, 62.60 degrees
Fractional positions:
Cd (0.0000, 0.0000, 0.0000)
Cd (0.7500, 0.2500, 0.5000)
Ga (0.1247, 0.6250, 0.9997)
Ga (0.3750, 0.3747, 0.4997)
Ga (0.6253, 0.1250, 0.0003)
Ga (0.8750, 0.8753, 0.5003)
Cl (0.2500, 0.7500, 0.5000)
Cl (0.5000, 0.5000, 0.0000)

=====

Entry 2:
CdGa2Cl6 after structural relaxation. Source: the Alexandria database, functional PBE.

Properties
E_tot, eV/atom: -3.011
Calculated volume, A^3/atom: 34.7
Polymorph energy (0 for the lowest one), eV/f.u.: 0.00
Formation energy (no corrections), eV per atom: -1.01
N(E_F), states/eV/atom: 0.000

Cell lengths 9.7933, 9.7933, 6.6737 Å; angles 97.51, 97.51, 82.70 degrees
Fractional positions:
Cd (0.0132, 0.9868, 0.7500)
Cd (0.9868, 0.0132, 0.2500)
Ga (0.3324, 0.4994, 0.7313)
Ga (0.4994, 0.3324, 0.2313)
Ga (0.5006, 0.6676, 0.7687)
Ga (0.6676, 0.5006, 0.2687)
Cl (0.0064, 0.8069, 0.4488)
Cl (0.1286, 0.5528, 0.8253)
Cl (0.1931, 0.9936, 0.0512)
Cl (0.2921, 0.4138, 0.3794)
Cl (0.4138, 0.2921, 0.8794)
Cl (0.4472, 0.8714, 0.6747)
Cl (0.5528, 0.1286, 0.3253)
Cl (0.5862, 0.7079, 0.1206)
Cl (0.7079, 0.5862, 0.6206)
Cl (0.8069, 0.0064, 0.9488)
Cl (0.8714, 0.4472, 0.1747)
Cl (0.9936, 0.1931, 0.5512)